Record 1
The following is a PBE calculation of a relaxed structure of SeIO2, from Alexandria.

Output
DOS(E_F)   0.972 states/eV/atom
E_form (uncorrected)   0.050 eV/atom

Cell lengths 6.215, 6.215, 6.215 Å; angles 120.05, 120.05, 89.91 degrees
Fractional coordinates of all 8 atoms:
Se  0.000  0.000  0.000
Se  0.750  0.250  0.500
I  0.250  0.750  0.500
I  0.500  0.500  0.000
O  0.375  0.126  0.251
O  0.874  0.125  0.249
O  0.875  0.124  0.749
O  0.876  0.625  0.751


Record 2
The following is a PBE calculation of a relaxed structure of SeI2O2, from Alexandria.

Output
DOS(E_F)   0.767 states/eV/atom
E_form (uncorrected)   0.915 eV/atom

Cell lengths 4.953, 4.953, 3.946 Å; angles 90.00, 90.00, 90.00 degrees
Fractional coordinates of all 5 atoms:
Se  0.000  0.000  0.000
I  0.000  0.500  0.500
I  0.500  0.000  0.500
O  0.500  0.500  0.000
O  0.500  0.500  0.500


| no. | relative energy among the computed polymorphs (eV/f.u.) |
| --- | --- |
| 1 | 0.00 |
| 2 | 3.73 |